Computed, not measured: an optimized crystal structure of AcCrO3 at the PBE with a Hubbard U level of DFT.

Properties
DFT total energy in eV per atom: -8.03
V in Å³ per atom: 12.681

abc: 3.988 3.988 3.988
angles: 90.00 90.00 90.00
Last column: magnetic moment on the atom in μB.
Fractional positions:
O 0.500 0.000 0.500  0.01
O 0.500 0.500 0.000  0.01
O 0.000 0.500 0.500  0.01
Cr 0.500 0.500 0.500  2.87
Ac 0.000 0.000 0.000  0.01